## Y2Tl3In3 (PBE-GGA)

Data for a relaxed Y2Tl3In3 crystal.

E_form: -2.62 eV per formula unit

Cell lengths 4.6841, 4.7066, 9.5003 Å; angles 90.00, 90.00, 90.00 degrees
Element x y z (fractional)
Y (0.0000, 0.0000, 0.2478)
Y (0.0000, 0.0000, 0.7522)
Tl (0.5000, 0.0000, 0.5000)
Tl (0.5000, 0.5000, 0.2467)
Tl (0.5000, 0.5000, 0.7533)
In (0.0000, 0.5000, 0.0000)
In (0.0000, 0.5000, 0.5000)
In (0.5000, 0.0000, 0.0000)